Density functional theory data (PBE) for an optimized crystal structure of Nd2Dy5YTh.

Output
ΔH_f (0 K) in eV per atom: 0.166
Fermi-level density of states in states/eV/atom: 1.56

Cell and atoms, written as POSCAR:
```
Nd2Dy5YTh
1.0
5.632 0.000 0.000
-2.816 9.972 0.000
0.000 0.000 10.785
Dy Y Nd Th
10 2 4 2
direct
0.281 0.562 0.312
0.984 0.968 0.526
0.300 0.599 0.709
0.608 0.216 0.522
0.719 0.438 0.812
0.521 0.042 0.238
0.479 0.958 0.738
0.700 0.401 0.209
0.392 0.784 0.022
0.016 0.032 0.026
0.201 0.402 0.009
0.799 0.598 0.509
0.115 0.230 0.733
0.885 0.770 0.233
0.115 0.231 0.319
0.885 0.769 0.819
0.584 0.167 0.956
0.416 0.833 0.456
```